! PBE-GGA NdHoRh, optimized geometry; values from VASP
! Magnetic moment   1.1 Bohr magnetons per cell
! Calculated formation energy   -0.4928 eV per atom
! Uncorrected energy   -6.0584 eV/atom
! SG   No. 131
&SYSTEM
  ibrav = 0, nat = 12, ntyp = 3
/
ATOMIC_SPECIES
Rh 102.91 Rh.upf
Ho 164.93 Ho.upf
Nd 144.24 Nd.upf
ATOMIC_POSITIONS crystal
Rh 0.000 0.500 0.753
Rh 0.500 0.247 0.500
Rh 0.500 0.753 0.500
Rh 0.000 0.500 0.247
Ho 0.000 0.744 0.500
Ho 0.500 0.500 0.744
Ho 0.500 0.500 0.256
Ho 0.000 0.256 0.500
Nd 0.000 0.751 0.000
Nd 0.500 0.000 0.751
Nd 0.500 0.000 0.249
Nd 0.000 0.249 0.000
CELL_PARAMETERS angstrom
5.576 0.000 0.000
0.000 7.899 0.000
0.000 0.000 7.899